[1]
This record from the Alexandria database describes a relaxed structure of AcPrSc2. The functional is PBE-GGA.

Lattice parameters (Å, degrees): 5.6478 5.6478 5.6478 60.00 60.00 60.00
With the nearest neighbours (Å) after each atom.
Sites, in units of the cell vectors:
Ac (0.0000, 0.0000, 0.0000)  8 Sc 3.46
Sc (0.7500, 0.7500, 0.7500)  4 Ac 3.46, 4 Pr 3.46
Sc (0.2500, 0.2500, 0.2500)  4 Ac 3.46, 4 Pr 3.46
Pr (0.5000, 0.5000, 0.5000)  8 Sc 3.46

Output
- crystal system = cubic
- calculated density (Mg/m³) = 6.0
- space-group type = No. 225

[2]
This record from the Alexandria database describes a relaxed structure of AcPr2Sc. The functional is PBE-GGA.

Lattice parameters (Å, degrees): 3.7052 3.7052 12.0623 81.17 81.17 60.00
With the nearest neighbours (Å) after each atom.
Sites, in units of the cell vectors:
Ac (0.4998, 0.4998, 0.5007)  6 Ac 3.71, 6 Pr 3.85-3.88
Pr (0.0765, 0.0765, 0.7706)  3 Sc 3.47, 6 Pr 3.71, 3 Ac 3.85
Sc (0.6666, 0.6666, 0.0003)  6 Pr 3.45-3.47, 6 Sc 3.71
Pr (0.2572, 0.2572, 0.2283)  3 Sc 3.45, 6 Pr 3.71

Output
- crystal system = trigonal
- calculated density (Mg/m³) = 6.5
- space-group type = No. 160

| no. | excess energy over the best structure of this formula in the dataset (eV per atom) | calculated total energy (eV/atom) | ΔE_f (eV per atom) |
| --- | --- | --- | --- |
| 1 | 0.013 | -5.29 | 0.10 |
| 2 | 0.036 | -4.90 | 0.10 |